# GGA-PBE LiTaIN2, optimized geometry
data_LiTaIN2
_chemical_formula_sum 'Li1 Ta1 I1 N2'
_symmetry_space_group_name_H-M 'P 1'
_symmetry_Int_Tables_number 1
_cell_length_a 4.0010
_cell_length_b 4.0010
_cell_length_c 4.5484
_cell_angle_alpha 90.00
_cell_angle_beta 90.00
_cell_angle_gamma 90.00
loop_
_symmetry_equiv_pos_as_xyz
'x,y,z'
loop_
_atom_site_label
_atom_site_type_symbol
_atom_site_fract_x
_atom_site_fract_y
_atom_site_fract_z
N1 N 0.0000 0.5000 0.0000
N2 N 0.5000 0.0000 0.0000
Ta1 Ta 0.5000 0.5000 0.5000
I1 I 0.0000 0.0000 0.5000
Li1 Li 0.0000 0.0000 0.0000
# DOS(E_F) = 4.19 states/eV/f.u.
# total magnetization = 0.90 μB/cell
# crystal system = tetragonal
# energy above the most stable polymorph in this dataset = 9.879 eV/f.u.
# V = 72.8 Å³ per cell
# ΔE_f (raw) = 1845 meV/atom



# GGA-PBE LiTaIN2, optimized geometry
data_LiTaIN2
_chemical_formula_sum 'Li1 Ta1 I1 N2'
_symmetry_space_group_name_H-M 'P 1'
_symmetry_Int_Tables_number 1
_cell_length_a 4.0316
_cell_length_b 4.0316
_cell_length_c 5.9248
_cell_angle_alpha 90.00
_cell_angle_beta 90.00
_cell_angle_gamma 90.00
loop_
_symmetry_equiv_pos_as_xyz
'x,y,z'
loop_
_atom_site_label
_atom_site_type_symbol
_atom_site_fract_x
_atom_site_fract_y
_atom_site_fract_z
I1 I 0.0000 0.0000 0.5000
Li1 Li 0.5000 0.5000 0.5000
N1 N 0.0000 0.5000 0.0000
N2 N 0.5000 0.0000 0.0000
Ta1 Ta 0.0000 0.0000 0.0000
# DOS(E_F) = 2.04 states/eV/f.u.
# total magnetization = 0.27 μB/cell
# crystal system = tetragonal
# energy above the most stable polymorph in this dataset = 0.000 eV/f.u.
# V = 96.3 Å³ per cell
# ΔE_f (raw) = -131 meV/atom



# GGA-PBE LiTi2IN, optimized geometry
data_LiTi2IN
_chemical_formula_sum 'Li1 Ti2 I1 N1'
_symmetry_space_group_name_H-M 'P 1'
_symmetry_Int_Tables_number 1
_cell_length_a 4.6932
_cell_length_b 3.3965
_cell_length_c 4.6932
_cell_angle_alpha 90.00
_cell_angle_beta 90.00
_cell_angle_gamma 90.00
loop_
_symmetry_equiv_pos_as_xyz
'x,y,z'
loop_
_atom_site_label
_atom_site_type_symbol
_atom_site_fract_x
_atom_site_fract_y
_atom_site_fract_z
Li1 Li 0.0000 0.0000 0.0000
Ti1 Ti 0.0000 0.0000 0.5000
Ti2 Ti 0.5000 0.0000 0.0000
I1 I 0.5000 0.5000 0.5000
N1 N 0.0000 0.5000 0.0000
# DOS(E_F) = 4.61 states/eV/f.u.
# total magnetization = 0.81 μB/cell
# crystal system = tetragonal
# V = 74.8 Å³ per cell
# ΔE_f (raw) = 635 meV/atom



# GGA-PBE LiTiI2N, optimized geometry
data_LiTiI2N
_chemical_formula_sum 'Li1 Ti1 I2 N1'
_symmetry_space_group_name_H-M 'P 1'
_symmetry_Int_Tables_number 1
_cell_length_a 5.7631
_cell_length_b 5.7631
_cell_length_c 3.8037
_cell_angle_alpha 90.00
_cell_angle_beta 90.00
_cell_angle_gamma 90.00
loop_
_symmetry_equiv_pos_as_xyz
'x,y,z'
loop_
_atom_site_label
_atom_site_type_symbol
_atom_site_fract_x
_atom_site_fract_y
_atom_site_fract_z
Ti1 Ti 0.0000 0.0000 0.0000
I1 I 0.5000 0.0000 0.0000
I2 I 0.0000 0.5000 0.0000
N1 N 0.0000 0.0000 0.5000
Li1 Li 0.5000 0.5000 0.5000
# DOS(E_F) = 1.66 states/eV/f.u.
# total magnetization = 0.00 μB/cell
# crystal system = tetragonal
# energy above the most stable polymorph in this dataset = 0.000 eV/f.u.
# V = 126.3 Å³ per cell
# ΔE_f (raw) = -482 meV/atom



# GGA-PBE LiTiI2N, optimized geometry
data_LiTiI2N
_chemical_formula_sum 'Li1 Ti1 I2 N1'
_symmetry_space_group_name_H-M 'P 1'
_symmetry_Int_Tables_number 1
_cell_length_a 5.2283
_cell_length_b 5.2283
_cell_length_c 3.6622
_cell_angle_alpha 90.00
_cell_angle_beta 90.00
_cell_angle_gamma 90.00
loop_
_symmetry_equiv_pos_as_xyz
'x,y,z'
loop_
_atom_site_label
_atom_site_type_symbol
_atom_site_fract_x
_atom_site_fract_y
_atom_site_fract_z
I1 I 0.5000 0.0000 0.0000
I2 I 0.0000 0.5000 0.0000
Ti1 Ti 0.5000 0.5000 0.5000
N1 N 0.0000 0.0000 0.5000
Li1 Li 0.0000 0.0000 0.0000
# DOS(E_F) = 5.63 states/eV/f.u.
# total magnetization = 0.00 μB/cell
# crystal system = tetragonal
# energy above the most stable polymorph in this dataset = 6.293 eV/f.u.
# V = 100.1 Å³ per cell
# ΔE_f (raw) = 776 meV/atom



# GGA-PBE LiTlIN2, optimized geometry
data_LiTlIN2
_chemical_formula_sum 'Li1 Tl1 I1 N2'
_symmetry_space_group_name_H-M 'P 1'
_symmetry_Int_Tables_number 1
_cell_length_a 4.3620
_cell_length_b 4.3620
_cell_length_c 7.0218
_cell_angle_alpha 90.00
_cell_angle_beta 90.00
_cell_angle_gamma 90.00
loop_
_symmetry_equiv_pos_as_xyz
'x,y,z'
loop_
_atom_site_label
_atom_site_type_symbol
_atom_site_fract_x
_atom_site_fract_y
_atom_site_fract_z
Li1 Li 0.5000 0.5000 0.5000
N1 N 0.5000 0.0000 0.0000
N2 N 0.0000 0.5000 0.0000
I1 I 0.0000 0.0000 0.5000
Tl1 Tl 0.0000 0.0000 0.0000
# DOS(E_F) = 2.94 states/eV/f.u.
# total magnetization = 2.89 μB/cell
# crystal system = tetragonal
# energy above the most stable polymorph in this dataset = 0.000 eV/f.u.
# V = 133.6 Å³ per cell
# ΔE_f (raw) = 1225 meV/atom



# GGA-PBE LiTlIN2, optimized geometry
data_LiTlIN2
_chemical_formula_sum 'Li1 Tl1 I1 N2'
_symmetry_space_group_name_H-M 'P 1'
_symmetry_Int_Tables_number 1
_cell_length_a 4.7344
_cell_length_b 4.7344
_cell_length_c 5.5853
_cell_angle_alpha 90.00
_cell_angle_beta 90.00
_cell_angle_gamma 90.00
loop_
_symmetry_equiv_pos_as_xyz
'x,y,z'
loop_
_atom_site_label
_atom_site_type_symbol
_atom_site_fract_x
_atom_site_fract_y
_atom_site_fract_z
I1 I 0.0000 0.0000 0.5000
Tl1 Tl 0.5000 0.5000 0.5000
N1 N 0.5000 0.0000 0.0000
N2 N 0.0000 0.5000 0.0000
Li1 Li 0.0000 0.0000 0.0000
# DOS(E_F) = 1.89 states/eV/f.u.
# total magnetization = 5.00 μB/cell
# crystal system = tetragonal
# energy above the most stable polymorph in this dataset = 0.450 eV/f.u.
# V = 125.2 Å³ per cell
# ΔE_f (raw) = 1315 meV/atom



# GGA-PBE LiWIN2, optimized geometry
data_LiWIN2
_chemical_formula_sum 'Li1 W1 I1 N2'
_symmetry_space_group_name_H-M 'P 1'
_symmetry_Int_Tables_number 1
_cell_length_a 3.8870
_cell_length_b 3.8870
_cell_length_c 4.6194
_cell_angle_alpha 90.00
_cell_angle_beta 90.00
_cell_angle_gamma 90.00
loop_
_symmetry_equiv_pos_as_xyz
'x,y,z'
loop_
_atom_site_label
_atom_site_type_symbol
_atom_site_fract_x
_atom_site_fract_y
_atom_site_fract_z
N1 N 0.5000 0.0000 0.0000
N2 N 0.0000 0.5000 0.0000
W1 W 0.5000 0.5000 0.5000
Li1 Li 0.0000 0.0000 0.0000
I1 I 0.0000 0.0000 0.5000
# DOS(E_F) = 6.00 states/eV/f.u.
# total magnetization = 0.00 μB/cell
# crystal system = tetragonal
# energy above the most stable polymorph in this dataset = 11.061 eV/f.u.
# V = 69.8 Å³ per cell
# ΔE_f (raw) = 2264 meV/atom



# GGA-PBE LiWI2N, optimized geometry
data_LiWI2N
_chemical_formula_sum 'Li1 W1 I2 N1'
_symmetry_space_group_name_H-M 'P 1'
_symmetry_Int_Tables_number 1
_cell_length_a 5.7061
_cell_length_b 5.7061
_cell_length_c 3.8692
_cell_angle_alpha 90.00
_cell_angle_beta 90.00
_cell_angle_gamma 90.00
loop_
_symmetry_equiv_pos_as_xyz
'x,y,z'
loop_
_atom_site_label
_atom_site_type_symbol
_atom_site_fract_x
_atom_site_fract_y
_atom_site_fract_z
Li1 Li 0.5000 0.5000 0.5000
W1 W 0.0000 0.0000 0.0000
I1 I 0.0000 0.5000 0.0000
I2 I 0.5000 0.0000 0.0000
N1 N 0.0000 0.0000 0.5000
# DOS(E_F) = 1.11 states/eV/f.u.
# total magnetization = 1.09 μB/cell
# crystal system = tetragonal
# energy above the most stable polymorph in this dataset = 0.000 eV/f.u.
# V = 126.0 Å³ per cell
# ΔE_f (raw) = 35 meV/atom



# GGA-PBE LiWIN2, optimized geometry
data_LiWIN2
_chemical_formula_sum 'Li1 W1 I1 N2'
_symmetry_space_group_name_H-M 'P 1'
_symmetry_Int_Tables_number 1
_cell_length_a 3.9390
_cell_length_b 3.9390
_cell_length_c 5.9217
_cell_angle_alpha 90.00
_cell_angle_beta 90.00
_cell_angle_gamma 90.00
loop_
_symmetry_equiv_pos_as_xyz
'x,y,z'
loop_
_atom_site_label
_atom_site_type_symbol
_atom_site_fract_x
_atom_site_fract_y
_atom_site_fract_z
I1 I 0.0000 0.0000 0.5000
N1 N 0.5000 0.0000 0.0000
N2 N 0.0000 0.5000 0.0000
W1 W 0.0000 0.0000 0.0000
Li1 Li 0.5000 0.5000 0.5000
# DOS(E_F) = 1.00 states/eV/f.u.
# total magnetization = 0.00 μB/cell
# crystal system = tetragonal
# energy above the most stable polymorph in this dataset = 0.000 eV/f.u.
# V = 91.9 Å³ per cell
# ΔE_f (raw) = 52 meV/atom



# GGA-PBE LiWI2N, optimized geometry
data_LiWI2N
_chemical_formula_sum 'Li1 W1 I2 N1'
_symmetry_space_group_name_H-M 'P 1'
_symmetry_Int_Tables_number 1
_cell_length_a 5.1989
_cell_length_b 5.1989
_cell_length_c 3.5029
_cell_angle_alpha 90.00
_cell_angle_beta 90.00
_cell_angle_gamma 90.00
loop_
_symmetry_equiv_pos_as_xyz
'x,y,z'
loop_
_atom_site_label
_atom_site_type_symbol
_atom_site_fract_x
_atom_site_fract_y
_atom_site_fract_z
W1 W 0.5000 0.5000 0.5000
I1 I 0.5000 0.0000 0.0000
I2 I 0.0000 0.5000 0.0000
Li1 Li 0.0000 0.0000 0.0000
N1 N 0.0000 0.0000 0.5000
# DOS(E_F) = 3.99 states/eV/f.u.
# total magnetization = 2.11 μB/cell
# crystal system = tetragonal
# energy above the most stable polymorph in this dataset = 7.548 eV/f.u.
# V = 94.7 Å³ per cell
# ΔE_f (raw) = 1545 meV/atom



# GGA-PBE LiYIN2, optimized geometry
data_LiYIN2
_chemical_formula_sum 'Li1 Y1 I1 N2'
_symmetry_space_group_name_H-M 'P 1'
_symmetry_Int_Tables_number 1
_cell_length_a 4.2970
_cell_length_b 4.2970
_cell_length_c 4.6469
_cell_angle_alpha 90.00
_cell_angle_beta 90.00
_cell_angle_gamma 90.00
loop_
_symmetry_equiv_pos_as_xyz
'x,y,z'
loop_
_atom_site_label
_atom_site_type_symbol
_atom_site_fract_x
_atom_site_fract_y
_atom_site_fract_z
N1 N 0.5000 0.0000 0.0000
N2 N 0.0000 0.5000 0.0000
I1 I 0.0000 0.0000 0.5000
Li1 Li 0.0000 0.0000 0.0000
Y1 Y 0.5000 0.5000 0.5000
# DOS(E_F) = 1.85 states/eV/f.u.
# total magnetization = 2.99 μB/cell
# crystal system = tetragonal
# energy above the most stable polymorph in this dataset = 2.722 eV/f.u.
# V = 85.8 Å³ per cell
# ΔE_f (raw) = 786 meV/atom



# GGA-PBE LiYI2N, optimized geometry
data_LiYI2N
_chemical_formula_sum 'Li1 Y1 I2 N1'
_symmetry_space_group_name_H-M 'P 1'
_symmetry_Int_Tables_number 1
_cell_length_a 6.2275
_cell_length_b 6.2275
_cell_length_c 4.1628
_cell_angle_alpha 90.00
_cell_angle_beta 90.00
_cell_angle_gamma 90.00
loop_
_symmetry_equiv_pos_as_xyz
'x,y,z'
loop_
_atom_site_label
_atom_site_type_symbol
_atom_site_fract_x
_atom_site_fract_y
_atom_site_fract_z
Y1 Y 0.0000 0.0000 0.0000
I1 I 0.5000 0.0000 0.0000
I2 I 0.0000 0.5000 0.0000
Li1 Li 0.5000 0.5000 0.5000
N1 N 0.0000 0.0000 0.5000
# DOS(E_F) = 2.51 states/eV/f.u.
# total magnetization = 0.18 μB/cell
# crystal system = tetragonal
# energy above the most stable polymorph in this dataset = 0.000 eV/f.u.
# V = 161.4 Å³ per cell
# ΔE_f (raw) = -511 meV/atom



# GGA-PBE LiYIN2, optimized geometry
data_LiYIN2
_chemical_formula_sum 'Li1 Y1 I1 N2'
_symmetry_space_group_name_H-M 'P 1'
_symmetry_Int_Tables_number 1
_cell_length_a 4.4641
_cell_length_b 4.4641
_cell_length_c 6.4710
_cell_angle_alpha 90.00
_cell_angle_beta 90.00
_cell_angle_gamma 90.00
loop_
_symmetry_equiv_pos_as_xyz
'x,y,z'
loop_
_atom_site_label
_atom_site_type_symbol
_atom_site_fract_x
_atom_site_fract_y
_atom_site_fract_z
N1 N 0.0000 0.5000 0.0000
N2 N 0.5000 0.0000 0.0000
Y1 Y 0.0000 0.0000 0.0000
I1 I 0.0000 0.0000 0.5000
Li1 Li 0.5000 0.5000 0.5000
# DOS(E_F) = 2.08 states/eV/f.u.
# total magnetization = 3.01 μB/cell
# crystal system = tetragonal
# energy above the most stable polymorph in this dataset = 0.000 eV/f.u.
# V = 129.0 Å³ per cell
# ΔE_f (raw) = 241 meV/atom